P:
BeSb2Cl at its PBEsol-relaxed geometry. Source: Alexandria via LeMat-Bulk, functional SCAN.

Cell: 3.2551 3.2551 7.6865 Å, 90.00 90.00 90.00°
Closest atoms and distances in Å follow each position.
Fractional coordinates of all 4 atoms:
Sb1 0.0000 0.0000 0.2053  4 Be 2.79
Sb2 0.0000 0.0000 0.7947  4 Be 2.79
Be1 0.5000 0.5000 0.0000  8 Sb 2.79
Cl1 0.5000 0.5000 0.5000  8 Sb 3.23, 4 Cl 3.26

**DOS at the Fermi energy**: 1.31 states/eV per cell

Q:
BeSb2Cl at its PBEsol-relaxed geometry. Source: Alexandria via LeMat-Bulk, functional SCAN.

Cell: 3.1678 5.0884 5.0884 Å, 90.00 90.00 90.00°
Closest atoms and distances in Å follow each position.
Fractional coordinates of all 4 atoms:
Sb1 0.0000 0.0000 0.5000  4 Cl 3.00, 4 Be 3.00, 2 Sb 3.17
Cl1 0.5000 0.0000 0.0000  8 Sb 3.00, 2 Cl 3.17
Be1 0.5000 0.5000 0.5000  8 Sb 3.00, 2 Be 3.17
Sb2 0.0000 0.5000 0.0000  4 Cl 3.00, 4 Be 3.00, 2 Sb 3.17

**DOS at the Fermi energy**: 1.54 states/eV per cell

Stability check: which of them is most stable? P.

P:
BeSe2Cl at its PBEsol-relaxed geometry. Source: Alexandria via LeMat-Bulk, functional SCAN.

Cell: 3.1584 3.7538 8.2334 Å, 90.00 90.00 114.88°
Closest atoms and distances in Å follow each position.
Fractional coordinates of all 4 atoms:
Se1 0.5000 0.0000 0.2889  2 Be 2.33, 2 Se 2.47
Se2 0.0000 0.0000 0.0584  2 Se 2.47
Be1 0.0000 0.0000 0.4964  2 Cl 2.06
Cl1 0.5000 0.0000 0.6562  2 Be 2.06

**DOS at the Fermi energy**: 0.49 states/eV per cell

Q:
BeSe2Cl at its PBEsol-relaxed geometry. Source: Alexandria via LeMat-Bulk, functional SCAN.

Cell: 3.0206 3.0206 10.0775 Å, 81.38 81.38 60.00°
Closest atoms and distances in Å follow each position.
Fractional coordinates of all 4 atoms:
Be1 0.0000 0.0000 0.0000  2 Se 2.06
Se1 0.0691 0.0691 0.7927  1 Be 2.06
Cl1 0.5000 0.5000 0.5000  6 Cl 3.02
Se2 0.9309 0.9309 0.2073  1 Be 2.06

**DOS at the Fermi energy**: 2.31 states/eV per cell

R:
BeSe2Cl at its PBEsol-relaxed geometry. Source: Alexandria via LeMat-Bulk, functional SCAN.

Cell: 3.1830 3.1830 6.8312 Å, 90.00 90.00 90.00°
Closest atoms and distances in Å follow each position.
Fractional coordinates of all 4 atoms:
Be1 0.5000 0.5000 0.0000  8 Se 2.56
Se1 0.0000 0.0000 0.1798  1 Se 2.46, 4 Be 2.56
Se2 0.0000 0.0000 0.8202  1 Se 2.46, 4 Be 2.56
Cl1 0.5000 0.5000 0.5000  8 Se 3.14, 4 Cl 3.18, 2 Be 3.42

**DOS at the Fermi energy**: 0.79 states/eV per cell

Stability check: which of them is most stable? P.

P:
BeSe2Cl at its PBEsol-relaxed geometry. Source: Alexandria via LeMat-Bulk, functional SCAN.

Cell: 2.9109 4.8832 4.8832 Å, 90.00 90.00 90.00°
Closest atoms and distances in Å follow each position.
Fractional coordinates of all 4 atoms:
Se1 0.0000 0.0000 0.5000  4 Cl 2.84, 4 Be 2.84, 2 Se 2.91
Cl1 0.5000 0.0000 0.0000  8 Se 2.84, 2 Cl 2.91
Be1 0.5000 0.5000 0.5000  8 Se 2.84, 2 Be 2.91
Se2 0.0000 0.5000 0.0000  4 Cl 2.84, 4 Be 2.84, 2 Se 2.91

**DOS at the Fermi energy**: 2.53 states/eV per cell

Q:
BeSe2Cl at its PBEsol-relaxed geometry. Source: Alexandria via LeMat-Bulk, functional SCAN.

Cell: 3.0955 5.3202 5.7551 Å, 106.14 105.60 90.00°
Closest atoms and distances in Å follow each position.
Fractional coordinates of all 4 atoms:
Cl1 0.1469 0.6605 0.2937  2 Be 2.12
Se1 0.9693 0.0575 0.9385  1 Se 2.29, 2 Be 2.48
Be1 0.5339 0.4373 0.0678  2 Cl 2.12
Se2 0.8500 0.3446 0.6999  1 Se 2.29, 2 Be 2.49

**DOS at the Fermi energy**: 1.11 states/eV per cell

Stability check: which of them is most stable? Q.

P:
Be2SiCl at its PBEsol-relaxed geometry. Source: Alexandria via LeMat-Bulk, functional SCAN.

Cell: 2.6500 4.4713 4.4713 Å, 90.00 90.00 90.00°
Closest atoms and distances in Å follow each position.
Fractional coordinates of all 4 atoms:
Be1 0.0000 0.0000 0.5000  4 Cl 2.60, 4 Si 2.60, 2 Be 2.65
Si1 0.5000 0.0000 0.0000  8 Be 2.60, 2 Si 2.65
Cl1 0.5000 0.5000 0.5000  8 Be 2.60, 2 Cl 2.65
Be2 0.0000 0.5000 0.0000  4 Cl 2.60, 4 Si 2.60, 2 Be 2.65

**DOS at the Fermi energy**: 0.76 states/eV per cell

Q:
Be2SiCl at its PBEsol-relaxed geometry. Source: Alexandria via LeMat-Bulk, functional SCAN.

Cell: 2.8244 2.8244 6.5047 Å, 90.00 90.00 90.00°
Closest atoms and distances in Å follow each position.
Fractional coordinates of all 4 atoms:
Be1 0.0000 0.0000 0.7226  4 Si 2.47, 4 Cl 2.69
Si1 0.5000 0.5000 0.5000  8 Be 2.47
Be2 0.0000 0.0000 0.2774  4 Si 2.47, 4 Cl 2.69
Cl1 0.5000 0.5000 0.0000  8 Be 2.69, 4 Cl 2.82

**DOS at the Fermi energy**: 0.82 states/eV per cell

R:
Be2SiCl at its PBEsol-relaxed geometry. Source: Alexandria via LeMat-Bulk, functional SCAN.

Cell: 5.1538 5.1538 6.1230 Å, 114.89 114.89 90.00°
Closest atoms and distances in Å follow each position.
Fractional coordinates of all 8 atoms:
Cl1 0.0000 0.0000 0.0000  4 Be 2.19
Si1 0.5000 0.5000 0.0000  4 Be 2.21
Be1 0.3715 0.8750 0.2500  2 Cl 2.19, 2 Si 2.21
Si2 0.7500 0.2500 0.5000  4 Be 2.21
Be2 0.1250 0.1215 0.7500  2 Cl 2.19, 2 Si 2.21
Be3 0.6250 0.6285 0.7500  2 Cl 2.19, 2 Si 2.21
Be4 0.8785 0.3750 0.2500  2 Cl 2.19, 2 Si 2.21
Cl2 0.2500 0.7500 0.5000  4 Be 2.19

**DOS at the Fermi energy**: 1.96 states/eV per cell

S:
Be2SiCl at its PBEsol-relaxed geometry. Source: Alexandria via LeMat-Bulk, functional SCAN.

Cell: 2.9366 2.9371 6.1447 Å, 90.00 90.00 90.00°
Closest atoms and distances in Å follow each position.
Fractional coordinates of all 4 atoms:
Cl1 0.5000 0.0000 0.0000  4 Be 2.30
Be1 0.0000 0.0000 0.2886  2 Cl 2.30, 4 Si 2.45
Si1 0.5000 0.5000 0.5000  8 Be 2.45
Be2 0.0000 0.0000 0.7114  2 Cl 2.30, 4 Si 2.45

**DOS at the Fermi energy**: 0.99 states/eV per cell

Stability check: which of them is most stable? R.

P:
TaBeCl2 at its PBEsol-relaxed geometry. Source: Alexandria via LeMat-Bulk, functional SCAN.

Cell: 4.0090 4.0090 4.5811 Å, 115.95 115.95 90.00°
Closest atoms and distances in Å follow each position.
Fractional coordinates of all 4 atoms:
Cl1 0.2500 0.7500 0.5000  4 Ta 2.69, 4 Be 2.69, 4 Cl 2.83
Be1 0.0000 0.0000 0.0000  8 Cl 2.69, 4 Ta 2.83
Cl2 0.7500 0.2500 0.5000  4 Ta 2.69, 4 Be 2.69, 4 Cl 2.83
Ta1 0.5000 0.5000 0.0000  8 Cl 2.69, 4 Be 2.83

**DOS at the Fermi energy**: 1.79 states/eV per cell

Q:
TaBeCl2 at its PBEsol-relaxed geometry. Source: Alexandria via LeMat-Bulk, functional SCAN.

Cell: 3.1538 3.7281 7.2091 Å, 104.98 102.63 90.00°
Closest atoms and distances in Å follow each position.
Fractional coordinates of all 4 atoms:
Cl1 0.8572 0.8572 0.7144  2 Ta 2.50, 2 Be 2.69
Be1 0.0000 0.5000 0.0000  4 Ta 2.44, 4 Cl 2.69
Cl2 0.1428 0.1428 0.2856  2 Ta 2.50, 2 Be 2.69
Ta1 0.5000 0.0000 0.0000  4 Be 2.44, 4 Cl 2.50

**DOS at the Fermi energy**: 1.45 states/eV per cell

Stability check: which of them is most stable? Q.

P:
TaBe2Cl at its PBEsol-relaxed geometry. Source: Alexandria via LeMat-Bulk, functional SCAN.

Cell: 2.7893 4.4156 4.5798 Å, 96.12 90.00 108.41°
Closest atoms and distances in Å follow each position.
Fractional coordinates of all 4 atoms:
Cl1 0.4788 0.9575 0.4772  3 Be 2.42-2.59, 3 Ta 2.52-2.53
Be1 0.0062 0.0124 0.9560  3 Be 2.40-2.45, 2 Cl 2.59
Ta1 0.7443 0.4885 0.2623  3 Cl 2.52-2.53, 5 Be 2.55-2.73, 2 Ta 2.79
Be2 0.2708 0.5415 0.8045  3 Be 2.40-2.45, 1 Cl 2.42, 2 Ta 2.55

**DOS at the Fermi energy**: 1.60 states/eV per cell

Q:
TaBe2Cl at its PBEsol-relaxed geometry. Source: Alexandria via LeMat-Bulk, functional SCAN.

Cell: 3.5276 3.5276 4.8014 Å, 111.55 111.55 90.00°
Closest atoms and distances in Å follow each position.
Fractional coordinates of all 4 atoms:
Ta1 0.2500 0.7500 0.5000  8 Be 2.49-2.71, 4 Cl 2.71
Cl1 0.5000 0.5000 0.0000  8 Be 2.49-2.71, 4 Ta 2.71
Be1 0.0000 0.0000 0.0000  4 Cl 2.49, 4 Ta 2.71, 4 Be 2.71
Be2 0.7500 0.2500 0.5000  4 Ta 2.49, 4 Be 2.71, 4 Cl 2.71

**DOS at the Fermi energy**: 2.29 states/eV per cell

Stability check: which of them is most stable? P.

P:
YBe2Cl at its PBEsol-relaxed geometry. Source: Alexandria via LeMat-Bulk, functional SCAN.

Cell: 3.6214 3.6214 5.2817 Å, 90.00 90.00 90.00°
Closest atoms and distances in Å follow each position.
Fractional coordinates of all 4 atoms:
Be1 0.0000 0.5000 0.0000  4 Be 2.56
Y1 0.0000 0.0000 0.5000  4 Cl 2.56
Be2 0.5000 0.0000 0.0000  4 Be 2.56
Cl1 0.5000 0.5000 0.5000  4 Y 2.56

**DOS at the Fermi energy**: 2.51 states/eV per cell

Q:
YBe2Cl at its PBEsol-relaxed geometry. Source: Alexandria via LeMat-Bulk, functional SCAN.

Cell: 3.1649 3.1649 8.2727 Å, 78.97 78.97 60.00°
Closest atoms and distances in Å follow each position.
Fractional coordinates of all 4 atoms:
Cl1 0.5000 0.5000 0.5000  6 Be 2.49
Be1 0.7633 0.7633 0.7101  3 Cl 2.49
Be2 0.2367 0.2367 0.2899  3 Cl 2.49
Y1 0.0000 0.0000 0.0000  6 Be 2.97, 6 Y 3.16

**DOS at the Fermi energy**: 1.83 states/eV per cell

R:
YBe2Cl at its PBEsol-relaxed geometry. Source: Alexandria via LeMat-Bulk, functional SCAN.

Cell: 3.3288 5.0308 5.0308 Å, 119.38 90.00 90.00°
Closest atoms and distances in Å follow each position.
Fractional coordinates of all 4 atoms:
Cl1 0.5000 0.0000 0.0000  2 Y 2.54
Be1 0.0000 0.0000 0.5000  2 Be 2.54
Be2 0.0000 0.5000 0.0000  2 Be 2.54
Y1 0.5000 0.5000 0.5000  2 Cl 2.54

**DOS at the Fermi energy**: 2.44 states/eV per cell

Stability check: which of them is most stable? P.

P:
Zr2BeCl at its PBEsol-relaxed geometry. Source: Alexandria via LeMat-Bulk, functional SCAN.

Cell: 3.1767 4.1293 5.0917 Å, 90.00 90.00 90.00°
Closest atoms and distances in Å follow each position.
Fractional coordinates of all 4 atoms:
Cl1 0.5000 0.5000 0.5000  6 Zr 2.55-2.60
Be1 0.0000 0.0000 0.0000  6 Zr 2.55-2.60
Zr1 0.0000 0.0000 0.5000  2 Be 2.55, 4 Cl 2.60
Zr2 0.5000 0.5000 0.0000  2 Cl 2.55, 4 Be 2.60

**DOS at the Fermi energy**: 1.38 states/eV per cell

Q:
Zr2BeCl at its PBEsol-relaxed geometry. Source: Alexandria via LeMat-Bulk, functional SCAN.

Cell: 4.6125 4.6125 4.6125 Å, 60.00 60.00 60.00°
Closest atoms and distances in Å follow each position.
Fractional coordinates of all 4 atoms:
Zr1 0.7500 0.7500 0.7500  4 Zr 2.82, 4 Be 2.82
Cl1 0.2500 0.2500 0.2500  4 Be 2.82, 4 Zr 2.82
Zr2 0.0000 0.0000 0.0000  4 Zr 2.82, 4 Cl 2.82
Be1 0.5000 0.5000 0.5000  4 Zr 2.82, 4 Cl 2.82

**DOS at the Fermi energy**: 3.44 states/eV per cell

R:
Zr2BeCl at its PBEsol-relaxed geometry. Source: Alexandria via LeMat-Bulk, functional SCAN.

Cell: 3.0785 3.0785 8.7966 Å, 90.00 90.00 90.00°
Closest atoms and distances in Å follow each position.
Fractional coordinates of all 4 atoms:
Zr1 0.5000 0.5000 0.2630  4 Be 2.68
Be1 0.0000 0.0000 0.4410  4 Zr 2.68
Cl1 0.5000 0.5000 0.8071  4 Zr 2.70
Zr2 0.0000 0.0000 0.9890  4 Cl 2.70

**DOS at the Fermi energy**: 2.14 states/eV per cell

Stability check: which of them is most stable? P.

P:
Be2CrCo at its PBEsol-relaxed geometry. Source: Alexandria via LeMat-Bulk, functional SCAN.

Cell: 3.7333 3.7333 3.7333 Å, 60.00 60.00 60.00°
Closest atoms and distances in Å follow each position.
Fractional coordinates of all 4 atoms:
Be1 0.2500 0.2500 0.2500  4 Cr 2.29, 4 Co 2.29
Be2 0.7500 0.7500 0.7500  4 Co 2.29, 4 Cr 2.29
Cr1 0.5000 0.5000 0.5000  8 Be 2.29
Co1 0.0000 0.0000 0.0000  8 Be 2.29

**DOS at the Fermi energy**: 2.31 states/eV per cell

Q:
Be2CrCo at its PBEsol-relaxed geometry. Source: Alexandria via LeMat-Bulk, functional SCAN.

Cell: 2.3067 4.1880 4.1880 Å, 110.58 90.00 90.00°
Closest atoms and distances in Å follow each position.
Fractional coordinates of all 4 atoms:
Be1 0.0000 0.5000 0.0000  4 Be 2.31-2.38, 4 Co 2.39, 4 Cr 2.39
Be2 0.0000 0.0000 0.5000  4 Be 2.31-2.38, 4 Cr 2.39, 4 Co 2.39
Cr1 0.5000 0.5000 0.5000  2 Cr 2.31, 2 Co 2.38, 8 Be 2.39
Co1 0.5000 0.0000 0.0000  2 Co 2.31, 2 Cr 2.38, 8 Be 2.39

**DOS at the Fermi energy**: 2.34 states/eV per cell

Stability check: which of them is most stable? P.

P:
BeGaCo2 at its PBEsol-relaxed geometry. Source: Alexandria via LeMat-Bulk, functional SCAN.

Cell: 3.8446 3.8446 3.8446 Å, 60.00 60.00 60.00°
Closest atoms and distances in Å follow each position.
Fractional coordinates of all 4 atoms:
Co1 0.7500 0.7500 0.7500  4 Ga 2.35, 4 Be 2.35
Co2 0.2500 0.2500 0.2500  4 Ga 2.35, 4 Be 2.35
Ga1 0.5000 0.5000 0.5000  8 Co 2.35
Be1 0.0000 0.0000 0.0000  8 Co 2.35

**DOS at the Fermi energy**: 1.49 states/eV per cell

Q:
BeGaCo2 at its PBEsol-relaxed geometry. Source: Alexandria via LeMat-Bulk, functional SCAN.

Cell: 3.4295 3.4295 8.3248 Å, 101.89 101.89 90.00°
Closest atoms and distances in Å follow each position.
Fractional coordinates of all 8 atoms:
Ga1 0.2500 0.7500 0.5000  4 Co 2.39, 4 Be 2.43
Co1 0.1250 0.1691 0.7500  2 Co 2.22, 2 Be 2.28, 2 Ga 2.39
Be1 0.7500 0.2500 0.5000  4 Co 2.28, 4 Ga 2.43
Ga2 0.0000 0.0000 0.0000  4 Co 2.39, 4 Be 2.43
Be2 0.5000 0.5000 0.0000  4 Co 2.28, 4 Ga 2.43
Co2 0.6250 0.5809 0.7500  2 Co 2.22, 2 Be 2.28, 2 Ga 2.39
Co3 0.4191 0.8750 0.2500  2 Co 2.22, 2 Be 2.28, 2 Ga 2.39
Co4 0.8309 0.3750 0.2500  2 Co 2.22, 2 Be 2.28, 2 Ga 2.39

**DOS at the Fermi energy**: 3.45 states/eV per cell

Stability check: which of them is most stable? P.

P:
BeCo2Ge at its PBEsol-relaxed geometry. Source: Alexandria via LeMat-Bulk, functional SCAN.

Cell: 2.7589 2.7589 5.2687 Å, 90.00 90.00 90.00°
Closest atoms and distances in Å follow each position.
Fractional coordinates of all 4 atoms:
Ge1 0.0000 0.0000 0.5000  8 Co 2.39, 2 Be 2.63
Co1 0.5000 0.5000 0.7613  4 Be 2.32, 4 Ge 2.39, 1 Co 2.52
Co2 0.5000 0.5000 0.2387  4 Be 2.32, 4 Ge 2.39, 1 Co 2.52
Be1 0.0000 0.0000 0.0000  8 Co 2.32

**DOS at the Fermi energy**: 1.52 states/eV per cell

Q:
BeCo2Ge at its PBEsol-relaxed geometry. Source: Alexandria via LeMat-Bulk, functional SCAN.

Cell: 3.8375 3.8375 3.8375 Å, 60.00 60.00 60.00°
Closest atoms and distances in Å follow each position.
Fractional coordinates of all 4 atoms:
Ge1 0.5000 0.5000 0.5000  8 Co 2.35
Be1 0.0000 0.0000 0.0000  8 Co 2.35
Co1 0.7500 0.7500 0.7500  4 Be 2.35, 4 Ge 2.35
Co2 0.2500 0.2500 0.2500  4 Ge 2.35, 4 Be 2.35

**DOS at the Fermi energy**: 1.59 states/eV per cell

Stability check: which of them is most stable? Q.

P:
BeInCo at its PBEsol-relaxed geometry. Source: Alexandria via LeMat-Bulk, functional SCAN.

Cell: 2.8436 2.8436 5.9496 Å, 90.00 90.00 120.00°
Closest atoms and distances in Å follow each position.
Fractional coordinates of all 3 atoms:
Be1 0.0000 0.0000 0.9523  3 Co 2.21
Co1 0.3333 0.6667 0.7025  3 Be 2.21
In1 0.6667 0.3333 0.3452  3 Co 2.69, 6 In 2.84, 3 Be 2.86

**DOS at the Fermi energy**: 1.24 states/eV per cell

Q:
BeInCo at its PBEsol-relaxed geometry. Source: Alexandria via LeMat-Bulk, functional SCAN.

Cell: 2.9233 2.9233 4.9061 Å, 107.33 107.33 90.00°
Closest atoms and distances in Å follow each position.
Fractional coordinates of all 3 atoms:
Be1 0.9602 0.9602 0.9203  4 Co 2.22
In1 0.6710 0.6710 0.3420  5 Be 2.57-2.79, 5 Co 2.69-2.72
Co1 0.3689 0.3689 0.7377  4 Be 2.22

**DOS at the Fermi energy**: 0.89 states/eV per cell

Stability check: which of them is most stable? Q.